TcP2Ru | PBE | optimized geometry

Geometry as POSCAR:
```
TcP2Ru
1.0
5.896 0.000 0.000
0.000 5.896 0.000
0.000 0.000 5.896
Tc P Ru
4 8 4
Direct
0.000 0.000 0.000
0.000 0.500 0.500
0.500 0.000 0.500
0.500 0.500 0.000
0.250 0.250 0.250
0.250 0.250 0.750
0.250 0.750 0.250
0.250 0.750 0.750
0.750 0.250 0.250
0.750 0.250 0.750
0.750 0.750 0.250
0.750 0.750 0.750
0.000 0.000 0.500
0.000 0.500 0.000
0.500 0.000 0.000
0.500 0.500 0.500
```

Summary:
For the formation energy, the calculation gives -338 meV per atom. The energy above the most stable polymorph in this dataset comes out at 41 meV per atom. The value obtained for the energy is -7.9536 eV/atom.